{
  "formula": "CeFeTcP2",
  "functional": "PBE-GGA",
  "state": "optimized geometry",
  "lattice": [[-3.2766, -0.3441, 2.3037], [-1.3044, -3.0229, -2.3069], [4.6292, -1.5011, 2.8523]],
  "species": ["Ce", "Fe", "Tc", "P", "P"],
  "frac_coords": [[0.0000, 0.0000, 0.0000], [0.7500, 0.2500, 0.5000], [0.2500, 0.7500, 0.5000], [0.6344, 0.6344, 0.2688], [0.3656, 0.3656, 0.7312]],
  "ef_ev_per_atom": -0.9227,
  "crystal_system": "tetragonal",
  "sg": "No. 119"
}